This record from Alexandria describes a relaxed structure of V2O5. The functional is PBE with a Hubbard U.

Lattice parameters (Å, degrees): 6.485 6.485 5.381 102.59 102.59 42.74
Element x y z (fractional)
V  0.099  0.617  0.750
V  0.383  0.901  0.750
V  0.617  0.099  0.250
V  0.901  0.383  0.250
O  0.114  0.886  0.750
O  0.134  0.273  0.630
O  0.273  0.134  0.130
O  0.332  0.448  0.014
O  0.448  0.332  0.514
O  0.552  0.668  0.486
O  0.668  0.552  0.986
O  0.727  0.866  0.870
O  0.866  0.727  0.370
O  0.886  0.114  0.250

Values from the calculation:
energy: -7.40 eV per atom